[1]
Er7Tm5 PBE-GGA relaxed; E_tot = -4.32 eV/atom; size of the total moment = 0.0 μB/cell; Fermi-level density of states = 1.608 states/eV per atom; formation enthalpy at 0 K = 0.201 eV/atom; crystal system = monoclinic
1.0
5.532 0.000 0.000
-2.766 4.746 -0.298
0.000 -2.291 14.293
Er Tm
7 5
direct
0.772 0.543 0.326
0.228 0.457 0.674
0.500 0.000 0.500
0.935 0.870 0.787
0.691 0.381 0.077
0.309 0.619 0.923
0.065 0.130 0.213
0.608 0.216 0.810
0.000 0.000 0.000
0.392 0.784 0.190
0.146 0.292 0.441
0.854 0.708 0.559


[2]
Pr4Al5Ni2 PBE-GGA relaxed; E_tot = -4.79 eV/atom; size of the total moment = 0.0 μB/cell; Fermi-level density of states = 0.771 states/eV per atom; formation enthalpy at 0 K = -0.301 eV/atom; crystal system = monoclinic
1.0
3.775 0.000 0.000
0.000 7.235 0.046
0.000 -0.642 9.329
Al Ni Pr
5 2 4
direct
0.000 0.440 0.699
0.000 0.500 0.000
0.000 0.203 0.164
0.000 0.797 0.836
0.000 0.560 0.301
0.000 0.066 0.639
0.000 0.934 0.361
0.500 0.168 0.867
0.500 0.757 0.555
0.500 0.243 0.445
0.500 0.832 0.133


[3]
LiMg2Ag7 PBE-GGA relaxed; E_tot = -2.35 eV/atom; size of the total moment = 0.0 μB/cell; Fermi-level density of states = 0.364 states/eV per atom; formation enthalpy at 0 K = 0.155 eV/atom; crystal system = orthorhombic
1.0
4.395 0.000 0.000
0.000 7.969 -0.529
0.000 -3.991 6.918
Ag Mg Li
7 2 1
direct
0.500 0.500 0.500
0.500 0.082 0.287
0.000 0.813 0.187
0.000 0.187 0.813
0.500 0.713 0.918
0.500 0.287 0.082
0.500 0.918 0.713
0.500 0.701 0.299
0.500 0.299 0.701
0.000 0.000 0.000


[4]
NbAg3P PBE-GGA relaxed; E_tot = -3.95 eV/atom; size of the total moment = 3.8 μB/cell; Fermi-level density of states = 1.111 states/eV per atom; formation enthalpy at 0 K = 0.861 eV/atom; crystal system = cubic
1.0
4.710 0.000 0.000
0.000 4.710 0.000
0.000 0.000 4.710
Nb Ag P
1 3 1
direct
0.500 0.500 0.500
0.500 0.000 0.000
0.000 0.500 0.000
0.000 0.000 0.500
0.000 0.000 0.000


[5]
CrBiRu PBE-GGA relaxed; E_tot = -7.11 eV/atom; size of the total moment = 1.7 μB/cell; Fermi-level density of states = 1.026 states/eV per atom; formation enthalpy at 0 K = 0.488 eV/atom; crystal system = orthorhombic
1.0
-2.042 0.776 -2.198
-0.865 -2.965 -0.253
-5.493 -0.267 2.808
Cr Ru Bi
1 1 1
direct
0.997 0.010 0.230
0.389 0.401 0.446
0.693 0.706 0.835


[6]
KYTe4 PBE-GGA relaxed; formation energy without anion corrections = -5.60 eV per formula unit; E_tot = -4.29 eV/atom; size of the total moment = 0.0 μB/cell; Fermi-level density of states = 0.115 states/eV per atom; crystal system = tetragonal
1.0
-0.276 -4.364 -5.279
6.848 -0.113 -0.265
0.107 -6.878 5.680
Te K Y
8 2 2
direct
0.354 0.146 0.207
0.146 0.646 0.207
0.146 0.354 0.793
0.354 0.854 0.793
0.646 0.146 0.793
0.854 0.646 0.793
0.646 0.854 0.207
0.854 0.354 0.207
0.500 0.500 0.500
0.000 0.000 0.500
0.000 0.000 0.000
0.500 0.500 0.000


[7]
Na3Th3Te8Au PBE-GGA relaxed; formation energy without anion corrections = -14.22 eV per formula unit; E_tot = -4.59 eV/atom; size of the total moment = 0.0 μB/cell; Fermi-level density of states = 0.023 states/eV per atom; crystal system = monoclinic
1.0
-8.657 -1.009 -3.625
6.857 -4.974 -2.699
-3.261 -1.492 8.202
Te Na Th Au
8 3 3 1
direct
0.214 0.429 0.705
0.752 0.503 0.745
0.270 0.980 0.749
0.248 0.497 0.255
0.710 0.980 0.749
0.290 0.020 0.251
0.730 0.020 0.251
0.786 0.571 0.295
0.500 0.500 0.000
0.000 0.000 0.000
0.000 0.500 0.000
0.500 0.000 0.500
0.000 0.500 0.500
0.500 0.500 0.500
0.000 0.000 0.500


[8]
AlGe PBE-GGA relaxed; E_tot = -3.93 eV/atom; size of the total moment = 0.0 μB/cell; Fermi-level density of states = 0.792 states/eV per atom; formation enthalpy at 0 K = 0.255 eV/atom; crystal system = cubic
1.0
5.823 0.000 0.000
0.000 5.823 0.000
0.000 0.000 5.823
Ge Al
4 4
direct
0.000 0.000 0.000
0.500 0.000 0.500
0.500 0.500 0.000
0.000 0.500 0.500
0.250 0.750 0.750
0.750 0.250 0.750
0.250 0.250 0.250
0.750 0.750 0.250


Repeat the eighth record exactly.
AlGe PBE-GGA relaxed; E_tot = -3.93 eV/atom; size of the total moment = 0.0 μB/cell; Fermi-level density of states = 0.792 states/eV per atom; formation enthalpy at 0 K = 0.255 eV/atom; crystal system = cubic
1.0
5.823 0.000 0.000
0.000 5.823 0.000
0.000 0.000 5.823
Ge Al
4 4
direct
0.000 0.000 0.000
0.500 0.000 0.500
0.500 0.500 0.000
0.000 0.500 0.500
0.250 0.750 0.750
0.750 0.250 0.750
0.250 0.250 0.250
0.750 0.750 0.250